Computed, not measured: crystalline Tm2UReC4 at its relaxed geometry at the PBE level of DFT.

Calculated density: 11.2 g/cm³
Formation energy from the elements: -0.0039 eV/atom
Size of the total moment: 1.867 μB/f.u.
Crystal system: orthorhombic
Electronic total energy: -69.61 eV/f.u.
DOS(E_F): 0.888 states/eV/atom

Cell lengths 6.1334, 6.1334, 12.0139 Å; angles 90.00, 90.00, 147.83 degrees
Atoms (fractional coordinates):
Tm: 0.1299 0.8701 0.5395
Tm: 0.1299 0.8701 0.9605
Tm: 0.8701 0.1299 0.0395
Tm: 0.8701 0.1299 0.4605
U: 0.4011 0.5989 0.7500
U: 0.5989 0.4011 0.2500
Re: 0.3383 0.6617 0.2500
Re: 0.6617 0.3383 0.7500
C: 0.0601 0.9399 0.7500
C: 0.2303 0.7697 0.1320
C: 0.2303 0.7697 0.3680
C: 0.5000 0.5000 0.0000
C: 0.5000 0.5000 0.5000
C: 0.7697 0.2303 0.6320
C: 0.7697 0.2303 0.8680
C: 0.9399 0.0601 0.2500


Computed, not measured: crystalline Pm2Ga8Ir at its relaxed geometry at the PBE level of DFT.

Calculated density: 8.0 g/cm³
Formation energy from the elements: -0.5489 eV/atom
Size of the total moment: 0.000 μB/f.u.
Crystal system: tetragonal
Electronic total energy: -48.62 eV/f.u.
DOS(E_F): 0.414 states/eV/atom

Cell lengths 4.3698, 4.3698, 11.3514 Å; angles 90.00, 90.00, 90.00 degrees
Atoms (fractional coordinates):
Pm: 0.0000 0.0000 0.1942
Pm: 0.0000 0.0000 0.8058
Ga: 0.0000 0.5000 0.0000
Ga: 0.0000 0.5000 0.3813
Ga: 0.0000 0.5000 0.6187
Ga: 0.5000 0.0000 0.0000
Ga: 0.5000 0.0000 0.3813
Ga: 0.5000 0.0000 0.6187
Ga: 0.5000 0.5000 0.1943
Ga: 0.5000 0.5000 0.8057
Ir: 0.0000 0.0000 0.5000